Here is a relaxed structure of In2GaSn from Alexandria. Energies are from PBE.

```
In2GaSn
1.0
-2.455 -0.061 -3.375
-1.945 -4.302 1.493
-3.501 2.451 2.502
Sn Ga In
1 1 2
direct
0.500 0.000 0.000
0.500 0.500 0.500
0.000 0.000 0.500
0.000 0.500 0.000
```

Crystal system: tetragonal
Energy of formation from the pure elements: 0.044 eV/atom
Final energy: -12.33 eV per formula unit
ΔE to the lowest computed polymorph: 0 meV per atom